Entry 1:
First-principles (PBE-GGA) data for an optimized crystal structure of Li2NdErTl4, as listed in Alexandria.

Calculated values
V	25.23	Å³/atom
space group	R-3m (166)
formation energy from the elements	-0.3194	eV/atom
magnetization	0.00	μB/f.u.

Cell lengths 5.224, 5.224, 9.058 Å; angles 73.24, 73.24, 60.00 degrees
Sites, in units of the cell vectors:
Li1 0.249 0.249 0.253
Li2 0.751 0.751 0.747
Tl1 0.378 0.378 0.867
Tl2 0.873 0.873 0.381
Tl3 0.127 0.127 0.619
Tl4 0.622 0.622 0.133
Er1 0.500 0.500 0.500
Nd1 0.000 0.000 0.000

Entry 2:
First-principles (PBE-GGA) data for an optimized crystal structure of HoPuPdAu, as listed in Alexandria.

Calculated values
V	22.72	Å³/atom
space group	F-43m (216)
formation energy from the elements	-0.5913	eV/atom
magnetization	5.69	μB/f.u.

Cell lengths 5.046, 5.046, 5.046 Å; angles 60.00, 60.00, 60.00 degrees
Sites, in units of the cell vectors:
Pu1 0.000 0.000 0.000
Ho1 0.500 0.500 0.500
Pd1 0.750 0.750 0.750
Au1 0.250 0.250 0.250

Entry 3:
First-principles (PBE-GGA) data for an optimized crystal structure of ZrTi2Ag2, as listed in Alexandria.

Calculated values
V	18.61	Å³/atom
space group	P4/mbm (127)
formation energy from the elements	0.1858	eV/atom
magnetization	0.00	μB/f.u.
energy above the lowest structure with this stoichiometry	14	meV per atom

Cell lengths 8.100, 8.100, 2.836 Å; angles 90.00, 90.00, 90.00 degrees
Sites, in units of the cell vectors:
Ag1 0.172 0.672 0.500
Ag2 0.328 0.172 0.500
Ag3 0.828 0.328 0.500
Ag4 0.672 0.828 0.500
Zr1 0.500 0.500 0.000
Zr2 0.000 0.000 0.000
Ti1 0.374 0.874 0.000
Ti2 0.874 0.626 0.000
Ti3 0.126 0.374 0.000
Ti4 0.626 0.126 0.000

Entry 4:
First-principles (PBE-GGA) data for an optimized crystal structure of Pu2ZnIn, as listed in Alexandria.

Calculated values
V	24.41	Å³/atom
space group	R-3m (166)
formation energy from the elements	0.0658	eV/atom
magnetization	11.52	μB/f.u.

Cell lengths 3.269, 3.269, 10.715 Å; angles 81.23, 81.23, 60.00 degrees
Sites, in units of the cell vectors:
Pu1 0.745 0.745 0.765
Pu2 0.255 0.255 0.235
In1 0.500 0.500 0.500
Zn1 0.000 0.000 0.000

Entry 5:
First-principles (PBE-GGA) data for an optimized crystal structure of LuMgTlPd, as listed in Alexandria.

Calculated values
V	21.09	Å³/atom
space group	F-43m (216)
formation energy from the elements	-0.4849	eV/atom
magnetization	0.00	μB/f.u.

Cell lengths 4.923, 4.923, 4.923 Å; angles 60.00, 60.00, 60.00 degrees
Sites, in units of the cell vectors:
Mg1 0.750 0.750 0.750
Pd1 0.500 0.500 0.500
Lu1 0.250 0.250 0.250
Tl1 0.000 0.000 0.000

Entry 6:
First-principles (PBE-GGA) data for an optimized crystal structure of TcRuC3, as listed in Alexandria.

Calculated values
V	12.52	Å³/atom
space group	Pm-3m (221)
formation energy from the elements	2.2431	eV/atom
magnetization	1.89	μB/f.u.
energy above the lowest structure with this stoichiometry	0	meV per atom

Cell lengths 3.971, 3.971, 3.971 Å; angles 90.00, 90.00, 90.00 degrees
Sites, in units of the cell vectors:
C1 0.000 0.500 0.000
C2 0.500 0.000 0.000
C3 0.000 0.000 0.500
Ru1 0.500 0.500 0.500
Tc1 0.000 0.000 0.000

Entry 7:
First-principles (PBE-GGA) data for an optimized crystal structure of TlCrTe3, as listed in Alexandria.

Calculated values
V	32.76	Å³/atom
space group	C2/m (12)
uncorrected formation energy	-0.10	eV per atom
magnetization	2.67	μB/f.u.
energy above the lowest structure with this stoichiometry	0	meV per atom

Cell lengths 7.799, 8.449, 6.609 Å; angles 107.07, 126.16, 90.00 degrees
Sites, in units of the cell vectors:
Cr1 0.815 0.002 0.630
Cr2 0.185 0.998 0.370
Te1 0.565 0.228 0.639
Te2 0.931 0.765 0.861
Te3 0.069 0.235 0.139
Te4 0.927 0.772 0.361
Te5 0.435 0.772 0.361
Te6 0.073 0.228 0.639
Tl1 0.378 0.623 0.757
Tl2 0.622 0.377 0.243

Entry 8:
First-principles (PBE-GGA) data for an optimized crystal structure of YZr2HgC, as listed in Alexandria.

Calculated values
V	20.46	Å³/atom
space group	P4/mmm (123)
formation energy from the elements	-0.4210	eV/atom
magnetization	0.00	μB/f.u.

Cell lengths 4.599, 4.599, 4.837 Å; angles 90.00, 90.00, 90.00 degrees
Sites, in units of the cell vectors:
Hg1 0.500 0.500 0.500
Y1 0.000 0.000 0.500
C1 0.000 0.000 0.000
Zr1 0.000 0.500 0.000
Zr2 0.500 0.000 0.000

Entry 9:
First-principles (PBE-GGA) data for an optimized crystal structure of Cs4DyU3O12, as listed in Alexandria.

Calculated values
V	17.21	Å³/atom
space group	Im-3m (229)
uncorrected formation energy	-2.82	eV per atom
magnetization	1.00	μB/f.u.

Cell lengths 7.646, 7.646, 7.646 Å; angles 109.47, 109.47, 109.47 degrees
Sites, in units of the cell vectors:
Dy1 0.000 0.000 0.000
U1 0.500 0.500 0.000
U2 0.500 0.000 0.500
U3 0.000 0.500 0.500
Cs1 0.000 0.000 0.500
Cs2 0.500 0.000 0.000
Cs3 0.500 0.500 0.500
Cs4 0.000 0.500 0.000
O1 0.000 0.268 0.268
O2 0.268 0.000 0.268
O3 0.732 0.000 0.732
O4 0.250 0.500 0.750
O5 0.000 0.732 0.732
O6 0.500 0.750 0.250
O7 0.750 0.250 0.500
O8 0.732 0.732 0.000
O9 0.750 0.500 0.250
O10 0.268 0.268 0.000
O11 0.500 0.250 0.750
O12 0.250 0.750 0.500

Entry 10:
First-principles (PBE-GGA) data for an optimized crystal structure of Pm2Pr2NdHo2, as listed in Alexandria.

Calculated values
V	34.03	Å³/atom
space group	C2/m (12)
formation energy from the elements	0.0154	eV/atom
magnetization	0.00	μB/f.u.

Cell lengths 5.138, 6.288, 8.158 Å; angles 97.34, 90.00, 114.11 degrees
Sites, in units of the cell vectors:
Pr1 0.858 0.716 0.572
Pr2 0.142 0.284 0.428
Ho1 0.429 0.857 0.286
Ho2 0.571 0.143 0.714
Nd1 0.000 0.000 0.000
Pm1 0.285 0.571 0.858
Pm2 0.715 0.429 0.142

Entry 11:
First-principles (PBE-GGA) data for an optimized crystal structure of Mg4PdPt2, as listed in Alexandria.

Calculated values
V	17.91	Å³/atom
space group	R-3m (166)
formation energy from the elements	-0.7502	eV/atom
magnetization	0.00	μB/f.u.
energy above the lowest structure with this stoichiometry	0	meV per atom

Cell lengths 4.489, 4.489, 7.639 Å; angles 72.91, 72.91, 60.00 degrees
Sites, in units of the cell vectors:
Mg1 0.381 0.381 0.858
Mg2 0.129 0.129 0.614
Mg3 0.871 0.871 0.386
Mg4 0.619 0.619 0.142
Pt1 0.253 0.253 0.240
Pt2 0.747 0.747 0.760
Pd1 0.000 0.000 0.000

Entry 12:
First-principles (PBE-GGA) data for an optimized crystal structure of TbFe2W, as listed in Alexandria.

Calculated values
V	16.60	Å³/atom
space group	R-3m (166)
formation energy from the elements	0.5554	eV/atom
magnetization	2.00	μB/f.u.
energy above the lowest structure with this stoichiometry	389	meV per atom

Cell lengths 3.094, 3.094, 8.206 Å; angles 79.13, 79.13, 60.00 degrees
Sites, in units of the cell vectors:
Fe1 0.261 0.261 0.216
Fe2 0.739 0.739 0.784
W1 0.000 0.000 0.000
Tb1 0.500 0.500 0.500

Entry 13:
First-principles (PBE-GGA) data for an optimized crystal structure of Pm3Cd2Rh4, as listed in Alexandria.

Calculated values
V	21.98	Å³/atom
space group	C2/m (12)
formation energy from the elements	-0.5221	eV/atom
magnetization	0.00	μB/f.u.

Cell lengths 4.520, 5.469, 8.800 Å; angles 92.97, 90.00, 114.40 degrees
Sites, in units of the cell vectors:
Pm1 0.371 0.741 0.619
Pm2 0.000 0.000 0.000
Pm3 0.629 0.259 0.381
Cd1 0.676 0.353 0.775
Cd2 0.324 0.647 0.225
Rh1 0.919 0.839 0.375
Rh2 0.081 0.161 0.625
Rh3 0.720 0.440 0.087
Rh4 0.280 0.560 0.913